1.
Entry from Alexandria via LeMat-Bulk: an optimized crystal structure of DyCdNiHg (PBE).

The structure in CIF format:
```
data_DyCdNiHg
_symmetry_space_group_name_H-M 'P 1'
_symmetry_Int_Tables_number 1
_cell_length_a 4.869
_cell_length_b 4.869
_cell_length_c 4.869
_cell_angle_alpha 60.00
_cell_angle_beta 60.00
_cell_angle_gamma 60.00
loop_
_symmetry_equiv_pos_as_xyz
'x,y,z'
loop_
_atom_site_label
_atom_site_fract_x
_atom_site_fract_y
_atom_site_fract_z
_atom_site_occupancy
Hg1 0.250 0.250 0.250 1
Dy1 0.500 0.500 0.500 1
Cd1 0.000 0.000 0.000 1
Ni1 0.750 0.750 0.750 1
```

Values from the calculation:
calculated formation energy: -212 meV per atom
space-group type: F-43m, No. 216
total moment: 0.0 μB/f.u.
final energy: -3.11 eV/atom
crystal system: cubic

2.
Entry from Alexandria via LeMat-Bulk: an optimized crystal structure of SrCdPRh (PBE).

The structure in CIF format:
```
data_SrCdPRh
_symmetry_space_group_name_H-M 'P 1'
_symmetry_Int_Tables_number 1
_cell_length_a 3.999
_cell_length_b 3.999
_cell_length_c 11.740
_cell_angle_alpha 90.00
_cell_angle_beta 90.00
_cell_angle_gamma 90.00
loop_
_symmetry_equiv_pos_as_xyz
'x,y,z'
loop_
_atom_site_label
_atom_site_fract_x
_atom_site_fract_y
_atom_site_fract_z
_atom_site_occupancy
P1 0.750 0.750 0.887 1
Cd1 0.250 0.750 0.500 1
Sr1 0.250 0.250 0.767 1
Cd2 0.750 0.250 0.500 1
Rh1 0.250 0.750 0.000 1
P2 0.250 0.250 0.113 1
Sr2 0.750 0.750 0.233 1
Rh2 0.750 0.250 0.000 1
```

Values from the calculation:
calculated formation energy: -679 meV per atom
space-group type: P4/nmm, No. 129
total moment: 0.0 μB/f.u.
final energy: -4.52 eV/atom
crystal system: tetragonal

3.
Entry from Alexandria via LeMat-Bulk: an optimized crystal structure of Sm8HoTm6 (PBE).

The structure in CIF format:
```
data_Sm8HoTm6
_symmetry_space_group_name_H-M 'P 1'
_symmetry_Int_Tables_number 1
_cell_length_a 9.727
_cell_length_b 9.727
_cell_length_c 8.172
_cell_angle_alpha 53.48
_cell_angle_beta 53.48
_cell_angle_gamma 60.00
loop_
_symmetry_equiv_pos_as_xyz
'x,y,z'
loop_
_atom_site_label
_atom_site_fract_x
_atom_site_fract_y
_atom_site_fract_z
_atom_site_occupancy
Sm1 0.643 0.773 0.516 1
Sm2 0.588 0.588 0.237 1
Sm3 0.357 0.227 0.484 1
Ho1 0.000 0.000 0.000 1
Sm4 0.067 0.643 0.516 1
Sm5 0.773 0.067 0.516 1
Sm6 0.933 0.357 0.484 1
Tm1 0.286 0.611 0.034 1
Tm2 0.714 0.389 0.966 1
Tm3 0.932 0.714 0.966 1
Sm7 0.227 0.933 0.484 1
Tm4 0.389 0.932 0.966 1
Tm5 0.611 0.068 0.034 1
Sm8 0.412 0.412 0.763 1
Tm6 0.068 0.286 0.034 1
```

Values from the calculation:
calculated formation energy: 185 meV per atom
space-group type: R-3, No. 148
relative energy among the computed polymorphs: 2 meV per atom
total moment: 0.0 μB/f.u.
final energy: -4.43 eV/atom
crystal system: trigonal

4.
Entry from Alexandria via LeMat-Bulk: an optimized crystal structure of Ce2PmMg (PBE).

The structure in CIF format:
```
data_Ce2PmMg
_symmetry_space_group_name_H-M 'P 1'
_symmetry_Int_Tables_number 1
_cell_length_a 3.339
_cell_length_b 3.339
_cell_length_c 10.424
_cell_angle_alpha 90.00
_cell_angle_beta 90.00
_cell_angle_gamma 90.00
loop_
_symmetry_equiv_pos_as_xyz
'x,y,z'
loop_
_atom_site_label
_atom_site_fract_x
_atom_site_fract_y
_atom_site_fract_z
_atom_site_occupancy
Ce1 0.000 0.000 0.239 1
Ce2 0.000 0.000 0.761 1
Pm1 0.500 0.500 0.500 1
Mg1 0.500 0.500 0.000 1
```

Values from the calculation:
calculated formation energy: 102 meV per atom
space-group type: P4/mmm, No. 123
relative energy among the computed polymorphs: 2 meV per atom
total moment: 1.8 μB/f.u.
final energy: -4.45 eV/atom
crystal system: tetragonal